Compound: CaLaFeCuO6
Source: the Alexandria database
Functional: PBE+U
Structure: relaxed

The structure in POSCAR format:
```
CaLaFeCuO6
1.0
5.487 -0.015 0.000
0.060 7.686 0.000
0.000 0.000 5.517
La O Cu Ca Fe
2 12 2 2 2
direct
0.494 0.750 0.468
0.994 0.250 0.032
0.779 0.464 0.784
0.932 0.747 0.518
0.578 0.753 0.014
0.211 0.959 0.215
0.279 0.964 0.716
0.432 0.247 0.982
0.283 0.535 0.718
0.711 0.459 0.285
0.715 0.041 0.290
0.078 0.253 0.486
0.215 0.541 0.210
0.783 0.035 0.782
0.500 0.000 0.001
0.000 0.500 0.499
0.009 0.750 0.956
0.509 0.250 0.544
0.999 0.001 0.500
0.499 0.501 0.000
```

Calculated values
As for the uncorrected energy: -6.589 eV/atom. The calculation puts the total magnetization at 7.7 μB per cell. As for the crystal system: monoclinic.